[1]
The following is a GGA-PBE calculation of a geometry-optimized LiCaGa2Au5 structure, from Alexandria.

Summary:
* total energy: -3.316 eV/atom
* magnetization: 0.000 μB per formula unit
* formation energy: -0.388 eV/atom

a b c (Å): 4.4644 4.4644 9.1778
angles (deg): 90.00 90.00 90.00
Space group P4/mmm (No. 123)
One atom of each set of equivalent atoms:
Li 0.0000 0.0000 0.0000 (multiplicity 1)
Ca 0.0000 0.0000 0.5000 (multiplicity 1)
Ga 0.5000 0.5000 0.1339 (multiplicity 2)
Au 0.0000 0.5000 0.2727 (multiplicity 4)
Au 0.5000 0.5000 0.5000 (multiplicity 1)

***

[2]
The following is a GGA-PBE calculation of a geometry-optimized Ac8SiTe4S3 structure, from Alexandria.

Summary:
* total energy: -5.559 eV/atom
* magnetization: 0.000 μB per formula unit

a b c (Å): 8.9860 8.9860 23.0803
angles (deg): 90.00 90.00 120.00
Space group R-3m (No. 166, hexagonal axes)
One atom of each set of equivalent atoms:
Ac 0.0000 0.0000 0.2382 (multiplicity 6)
Ac 0.0004 0.5002 0.2389 (multiplicity 18)
Si 0.0000 0.0000 0.5000 (multiplicity 3)
Te 0.0000 0.0000 0.0000 (multiplicity 3)
Te 0.0000 0.5000 0.0000 (multiplicity 9)
S 0.0000 0.5000 0.5000 (multiplicity 9)

***

[3]
The following is a GGA-PBE calculation of a geometry-optimized TiNbP2 structure, from Alexandria.

Summary:
* total energy: -8.061 eV/atom
* magnetization: 0.000 μB per formula unit
* ΔE to the lowest computed polymorph: 0.564 eV/f.u.
* formation energy: -0.865 eV/atom

a b c (Å): 3.5579 3.5579 17.4348
angles (deg): 90.00 90.00 120.00
Space group R-3m (No. 166, hexagonal axes)
One atom of each set of equivalent atoms:
Ti 0.0000 0.0000 0.0000 (multiplicity 3)
Nb 0.0000 0.0000 0.5000 (multiplicity 3)
P 0.0000 0.0000 0.2530 (multiplicity 6)

***

[4]
The following is a GGA-PBE calculation of a geometry-optimized Pu4Ge3 structure, from Alexandria.

Summary:
* total energy: -10.563 eV/atom
* magnetization: 20.449 μB per formula unit
* formation energy: -0.395 eV/atom

a b c (Å): 8.7364 8.7364 8.7364
angles (deg): 90.00 90.00 90.00
Space group I-43d (No. 220)
One atom of each set of equivalent atoms:
Pu 0.0782 0.0782 0.0782 (multiplicity 16)
Ge 0.0000 0.2500 0.3750 (multiplicity 12)

***

> Among the records above, which one has the highest magnetization?

Pu4Ge3